The following is a DFT calculation (GGA-PBE) of a relaxed structure of Cs3Mg2F7.

## Properties
Energy above the lowest structure with this stoichiometry, meV/atom: 10

CIF file:
```
data_Cs3Mg2F7
_chemical_formula_sum 'Cs6 Mg4 F14'
_symmetry_space_group_name_H-M 'C m m m'
_symmetry_Int_Tables_number 65
_symmetry_space_group_name_Hall '-C 2 2'
_cell_length_a 4.2479
_cell_length_b 24.6329
_cell_length_c 4.2041
_cell_angle_alpha 90.00
_cell_angle_beta 90.00
_cell_angle_gamma 90.00
loop_
_atom_site_label
_atom_site_type_symbol
_atom_site_fract_x
_atom_site_fract_y
_atom_site_fract_z
Cs1 Cs 0.0000 0.0000 0.0000
Cs2 Cs 0.0000 0.1770 0.0000
Mg1 Mg 0.0000 0.4145 0.5000
F1 F 0.0000 0.0877 0.5000
F2 F 0.0000 0.3327 0.5000
F3 F 0.0000 0.4126 0.0000
F4 F 0.0000 0.5000 0.5000
```


The following is a DFT calculation (GGA-PBE) of a relaxed structure of Cs2MgF3.

CIF file:
```
data_Cs2MgF3
_chemical_formula_sum 'Cs4 Mg2 F6'
_symmetry_space_group_name_H-M 'I m m m'
_symmetry_Int_Tables_number 71
_symmetry_space_group_name_Hall '-I 2 2'
_cell_length_a 4.1931
_cell_length_b 4.5796
_cell_length_c 14.8609
_cell_angle_alpha 90.00
_cell_angle_beta 90.00
_cell_angle_gamma 90.00
loop_
_atom_site_label
_atom_site_type_symbol
_atom_site_fract_x
_atom_site_fract_y
_atom_site_fract_z
Cs1 Cs 0.0000 0.0000 0.1489
Mg1 Mg 0.0000 0.0000 0.5000
F1 F 0.0000 0.0000 0.3660
F2 F 0.0000 0.5000 0.0000
```


Table of formation energy from raw total energies (eV/atom), in record order: -3.11, -2.52
Table of Fermi-level density of states (states/eV/f.u.), in record order: 0.00, 0.84
Table of calculated density (g cm⁻³), in record order: 4.381, 4.040